*1*
Material: Na2CoP2O7
Method: DFT, PBE+U
State: relaxed

Computed properties:
Magnetic moment: 6.00 μB/cell

Lattice parameters (Å, degrees): 7.870 7.870 5.152 90.00 90.00 90.00
Space group P-42_1m (No. 113)
Asymmetric unit:
1 Na 0.170 0.330 0.496 x4
2 Co 0.000 0.000 0.000 x2
3 P 0.138 0.638 0.928 x4
4 O 0.000 0.500 0.816 x2
5 O 0.080 0.804 0.792 x8
6 O 0.140 0.640 0.220 x4

---

*2*
Material: Na2CoP2O7
Method: DFT, PBE+U
State: relaxed

Computed properties:
Magnetic moment: 11.92 μB/cell

Lattice parameters (Å, degrees): 14.940 5.832 8.281 90.00 115.55 90.00
Space group C2/c (No. 15)
Asymmetric unit:
1 Na 0.231 0.142 0.301 x8
2 Co 0.000 0.000 0.000 x4
3 P 0.106 0.340 0.845 x8
4 O 0.000 0.475 0.750 x4
5 O 0.104 0.213 0.007 x8
6 O 0.110 0.167 0.706 x8
7 O 0.187 0.481 0.398 x8

---

Short version: *2* is the least stable of them.

---

*1*
Material: Na2CoP2O7
Method: DFT, PBE+U
State: relaxed

Computed properties:
Magnetic moment: 6.00 μB/cell

Lattice parameters (Å, degrees): 5.303 6.573 9.447 69.65 73.77 75.42
Space group P-1 (No. 2)
Asymmetric unit:
1 Na 0.143 0.267 0.468 x2
2 Na 0.353 0.576 0.782 x2
3 Co 0.091 0.769 0.129 x2
4 P 0.254 0.227 0.114 x2
5 P 0.427 0.803 0.361 x2
6 O 0.068 0.115 0.076 x2
7 O 0.100 0.432 0.160 x2
8 O 0.249 0.676 0.329 x2
9 O 0.278 0.256 0.707 x2
10 O 0.331 0.067 0.277 x2
11 O 0.363 0.792 0.530 x2
12 O 0.491 0.734 0.006 x2

---

*2*
Material: Na2CoP2O7
Method: DFT, PBE+U
State: relaxed

Computed properties:
Magnetic moment: 12.19 μB/cell

Lattice parameters (Å, degrees): 5.248 13.718 10.232 90.00 119.09 90.00
Space group P2_1/c (No. 14)
Asymmetric unit:
1 Na 0.069 0.107 0.362 x4
2 Na 0.405 0.202 0.139 x4
3 Co 0.033 0.168 0.734 x4
4 P 0.289 0.691 0.553 x4
5 P 0.471 0.541 0.768 x4
6 O 0.080 0.700 0.384 x4
7 O 0.166 0.736 0.648 x4
8 O 0.225 0.552 0.809 x4
9 O 0.279 0.115 0.642 x4
10 O 0.326 0.575 0.591 x4
11 O 0.405 0.230 0.907 x4
12 O 0.431 0.562 0.227 x4

---

Short version: *1* is the least stable of them.